Entry from the Alexandria database: crystalline PdSeIN2 at its relaxed geometry (PBE-GGA).

Structure (extended XYZ):
```
5
Lattice="3.7977 0.0000 0.0000 0.0000 3.7977 0.0000 0.0000 0.0000 7.9766" Properties=species:S:1:pos:R:3 pbc="T T T"
Pd 0.0000 0.0000 0.0000
Se 1.8988 1.8988 3.9883
I 1.8988 1.8988 0.0000
N 0.0000 1.8988 3.9883
N 1.8988 0.0000 3.9883
```

Results
total energy = -3.919 eV/atom
formation energy from raw total energies = 1456 meV per atom
size of the total moment = 0.1601 μB per atom
density = 4.9 g/cm³